Density functional theory data (PBE) for an optimized crystal structure of CsPtO2F.

a b c (Å): 3.8456 3.8456 6.7004
angles (deg): 90.00 90.00 90.00
Fractional positions:
Cs (0.5000, 0.5000, 0.5000)
O (0.0000, 0.5000, 0.0000)
O (0.5000, 0.0000, 0.0000)
Pt (0.0000, 0.0000, 0.0000)
F (0.0000, 0.0000, 0.5000)

Output
uncorrected formation energy	-1.010	eV per atom
E	-4.75	eV/atom

Density functional theory data (PBE) for an optimized crystal structure of Cs2PuO2F4.

a b c (Å): 5.1037 6.5461 6.5461
angles (deg): 61.93 89.04 89.04
Fractional positions:
Cs (0.1965, 0.6621, 0.6621)
Cs (0.8035, 0.3379, 0.3379)
Pu (0.5000, 0.0000, 0.0000)
O (0.2757, 0.1268, 0.1268)
O (0.7243, 0.8732, 0.8732)
F (0.2864, 0.6714, 0.1525)
F (0.7136, 0.8475, 0.3286)
F (0.7136, 0.3286, 0.8475)
F (0.2864, 0.1525, 0.6714)

Output
uncorrected formation energy	-2.883	eV per atom
E	-6.60	eV/atom

Density functional theory data (PBE) for an optimized crystal structure of Cs2PuO3F3.

a b c (Å): 3.4505 7.3653 7.3653
angles (deg): 120.00 90.00 90.00
Fractional positions:
Cs (0.5000, 0.3333, 0.6667)
Cs (0.5000, 0.6667, 0.3333)
Pu (0.0000, 0.0000, 0.0000)
O (0.5000, 0.8116, 0.0000)
O (0.5000, 0.1884, 0.1884)
O (0.5000, 0.0000, 0.8116)
F (0.0000, 0.0000, 0.3213)
F (0.0000, 0.6787, 0.6787)
F (0.0000, 0.3213, 0.0000)

Output
uncorrected formation energy	-2.237	eV per atom
E	-6.30	eV/atom

Density functional theory data (PBE) for an optimized crystal structure of Cs2PuO2F2.

a b c (Å): 4.3706 4.3706 8.5363
angles (deg): 104.83 104.83 90.00
Fractional positions:
Cs (0.3493, 0.3493, 0.6987)
Cs (0.6507, 0.6507, 0.3013)
Pu (0.0000, 0.0000, 0.0000)
O (0.0000, 0.5000, 0.0000)
O (0.5000, 0.0000, 0.0000)
F (0.1486, 0.1486, 0.2972)
F (0.8514, 0.8514, 0.7028)

Output
uncorrected formation energy	-2.787	eV per atom
E	-7.03	eV/atom

Density functional theory data (PBE) for an optimized crystal structure of Cs2RbOF6.

a b c (Å): 6.2782 6.2782 6.8323
angles (deg): 62.65 62.65 90.00
Fractional positions:
Cs (0.7500, 0.2500, 0.5000)
Cs (0.2500, 0.7500, 0.5000)
O (0.5000, 0.5000, 0.0000)
Rb (0.0000, 0.0000, 0.0000)
F (0.2501, 0.2501, 0.4999)
F (0.7499, 0.7499, 0.5001)
F (0.3023, 0.3023, 0.0000)
F (0.6977, 0.6977, 0.0000)
F (0.6977, 0.3023, 0.0000)
F (0.3023, 0.6977, 0.0000)

Output
uncorrected formation energy	-1.560	eV per atom
E	-3.45	eV/atom

Density functional theory data (PBE) for an optimized crystal structure of CsRb2OF.

a b c (Å): 4.0360 7.0218 10.4321
angles (deg): 90.00 90.00 106.70
Fractional positions:
Cs (0.9013, 0.8026, 0.7500)
Cs (0.0987, 0.1974, 0.2500)
Rb (0.6290, 0.2579, 0.5716)
Rb (0.3710, 0.7421, 0.4284)
Rb (0.3710, 0.7421, 0.0716)
Rb (0.6290, 0.2579, 0.9284)
O (0.0000, 0.0000, 0.5000)
O (0.0000, 0.0000, 0.0000)
F (0.2388, 0.4776, 0.7500)
F (0.7612, 0.5224, 0.2500)

Output
uncorrected formation energy	-1.571	eV per atom
E	-3.49	eV/atom

Which value of uncorrected formation energy does entry 6 give?
-1.571 eV per atom